Record 1
First-principles (PBE) data for crystalline FeSiOs4 at its relaxed geometry, as listed in the Alexandria database.

Values from the calculation:
Energy = -53.20 eV for the cell shown
Crystal system = cubic
V = 15.84 A^3/atom
Uncorrected formation energy = 0.933 eV/atom
SG = F-43m

Lattice parameters (Å, degrees): 5.122 5.122 5.122 60.00 60.00 60.00
Positions (direct):
Fe: 0.000 0.000 0.000
Si: 0.250 0.250 0.250
Os: 0.125 0.625 0.625
Os: 0.625 0.125 0.625
Os: 0.625 0.625 0.125
Os: 0.625 0.625 0.625

Record 2
First-principles (PBE) data for crystalline CaLa2Mn at its relaxed geometry, as listed in the Alexandria database.

Values from the calculation:
ΔE to the lowest computed polymorph = 0.086 eV per atom
Energy = -19.99 eV for the cell shown
Crystal system = orthorhombic
V = 31.83 A^3/atom
SG = Imm2
Formation enthalpy at 0 K = 0.2580 eV/atom

Lattice parameters (Å, degrees): 6.782 6.782 6.782 147.16 130.55 60.63
Positions (direct):
Ca: 0.000 0.000 0.000
La: 0.291 0.791 0.500
La: 0.586 0.586 0.000
Mn: 0.788 0.288 0.500

Record 3
First-principles (PBE) data for crystalline ZnPtI2O at its relaxed geometry, as listed in the Alexandria database.

Values from the calculation:
ΔE to the lowest computed polymorph = 0.000 eV per atom
Energy = -14.98 eV for the cell shown
Crystal system = tetragonal
V = 24.95 A^3/atom
Uncorrected formation energy = 0.080 eV/atom
SG = P4/mmm

Lattice parameters (Å, degrees): 5.707 5.707 3.830 90.00 90.00 90.00
Positions (direct):
Zn: 0.000 0.000 0.000
Pt: 0.500 0.500 0.500
I: 0.000 0.500 0.500
I: 0.500 0.000 0.500
O: 0.500 0.500 0.000

Record 4
First-principles (PBE) data for crystalline YTcAu2 at its relaxed geometry, as listed in the Alexandria database.

Values from the calculation:
ΔE to the lowest computed polymorph = 0.128 eV per atom
Energy = -23.60 eV for the cell shown
Crystal system = cubic
V = 19.78 A^3/atom
SG = Fm-3m
Formation enthalpy at 0 K = -0.0537 eV/atom

Lattice parameters (Å, degrees): 4.819 4.819 4.819 60.00 60.00 60.00
Positions (direct):
Y: 0.000 0.000 0.000
Tc: 0.500 0.500 0.500
Au: 0.250 0.250 0.250
Au: 0.750 0.750 0.750

Record 5
First-principles (PBE) data for crystalline Mn2OsPt2 at its relaxed geometry, as listed in the Alexandria database.

Values from the calculation:
ΔE to the lowest computed polymorph = 0.000 eV per atom
Energy = -81.61 eV for the cell shown
Crystal system = tetragonal
V = 15.03 A^3/atom
SG = P4/mbm
Formation enthalpy at 0 K = 0.1687 eV/atom

Lattice parameters (Å, degrees): 7.275 7.275 2.839 90.00 90.00 90.00
Positions (direct):
Mn: 0.166 0.334 0.000
Mn: 0.334 0.834 0.000
Mn: 0.666 0.166 0.000
Mn: 0.834 0.666 0.000
Os: 0.000 0.000 0.500
Os: 0.500 0.500 0.500
Pt: 0.134 0.634 0.500
Pt: 0.366 0.134 0.500
Pt: 0.634 0.866 0.500
Pt: 0.866 0.366 0.500

Record 6
First-principles (PBE) data for crystalline Ca2UO4 at its relaxed geometry, as listed in the Alexandria database.

Values from the calculation:
Energy = -56.08 eV for the cell shown
Crystal system = monoclinic
V = 15.67 A^3/atom
Uncorrected formation energy = -2.993 eV/atom
SG = C2/m

Lattice parameters (Å, degrees): 6.347 6.347 5.888 117.16 117.16 31.71
Positions (direct):
Ca: 0.197 0.197 0.188
Ca: 0.803 0.803 0.812
U: 0.500 0.500 0.500
O: 0.128 0.128 0.492
O: 0.375 0.375 0.092
O: 0.625 0.625 0.908
O: 0.872 0.872 0.508

Record 7
First-principles (PBE) data for crystalline AcPmSeS2 at its relaxed geometry, as listed in the Alexandria database.

Values from the calculation:
Energy = -30.14 eV for the cell shown
Crystal system = tetragonal
V = 33.18 A^3/atom
Uncorrected formation energy = -1.909 eV/atom
SG = P4mm

Lattice parameters (Å, degrees): 4.889 4.889 6.941 90.00 90.00 90.00
Positions (direct):
Ac: 0.000 0.000 0.000
Pm: 0.500 0.500 0.408
Se: 0.500 0.500 0.815
S: 0.000 0.500 0.239
S: 0.500 0.000 0.239

Record 8
First-principles (PBE) data for crystalline Pm2Nd2SmTm2 at its relaxed geometry, as listed in the Alexandria database.

Values from the calculation:
Energy = -32.57 eV for the cell shown
Crystal system = monoclinic
V = 33.24 A^3/atom
SG = C2/m
Formation enthalpy at 0 K = 0.0179 eV/atom

Lattice parameters (Å, degrees): 6.241 6.241 8.088 97.42 97.42 48.27
Positions (direct):
Pm: 0.144 0.144 0.429
Pm: 0.856 0.856 0.571
Nd: 0.429 0.429 0.281
Nd: 0.571 0.571 0.719
Sm: 0.000 0.000 0.000
Tm: 0.285 0.285 0.859
Tm: 0.715 0.715 0.141

Record 9
First-principles (PBE) data for crystalline TbSm6Ho2Tm3 at its relaxed geometry, as listed in the Alexandria database.

Values from the calculation:
Energy = -55.33 eV for the cell shown
Crystal system = monoclinic
V = 32.02 A^3/atom
SG = C2/m
Formation enthalpy at 0 K = 0.0158 eV/atom

Lattice parameters (Å, degrees): 6.193 6.193 11.751 95.02 95.02 119.99
Positions (direct):
Tb: 0.000 0.000 0.000
Sm: 0.084 0.418 0.251
Sm: 0.249 0.249 0.749
Sm: 0.418 0.084 0.251
Sm: 0.582 0.916 0.749
Sm: 0.751 0.751 0.251
Sm: 0.916 0.582 0.749
Ho: 0.333 0.667 0.000
Ho: 0.667 0.333 0.000
Tm: 0.167 0.833 0.500
Tm: 0.500 0.500 0.500
Tm: 0.833 0.167 0.500

Record 10
First-principles (PBE) data for crystalline Ag2TeS at its relaxed geometry, as listed in the Alexandria database.

Values from the calculation:
ΔE to the lowest computed polymorph = 0.029 eV per atom
Energy = -25.71 eV for the cell shown
Crystal system = monoclinic
V = 23.69 A^3/atom
Uncorrected formation energy = 0.030 eV/atom
SG = Pc

Lattice parameters (Å, degrees): 4.359 5.573 8.797 90.00 117.52 90.00
Positions (direct):
Ag: 0.000 0.211 0.000
Ag: 0.000 0.789 0.500
Ag: 0.767 0.225 0.264
Ag: 0.767 0.775 0.764
Te: 0.607 0.393 0.515
Te: 0.607 0.607 0.015
S: 0.083 0.143 0.732
S: 0.083 0.857 0.232